No. 1
# PBE Ac2GaSiIr, optimized geometry
# Magnetization in μB per formula unit: 0.00
# Total energy in eV/atom: -5.63
# Calculated volume in Å³/cell: 288.0
data_Ac2GaSiIr
_cell_length_a 4.475
_cell_length_b 4.475
_cell_length_c 14.379
_cell_angle_alpha 90.00
_cell_angle_beta 90.00
_cell_angle_gamma 90.00
_symmetry_space_group_name_H-M 'P 4/n m m'
_symmetry_Int_Tables_number 129
loop_
_symmetry_equiv_pos_as_xyz
'x,y,z'
'-x,-y,-z'
'-y+1/2,x,z'
'y+1/2,-x,-z'
'-x+1/2,-y+1/2,z'
'x+1/2,y+1/2,-z'
'y,-x+1/2,z'
'-y,x+1/2,-z'
'x+1/2,-y,-z'
'-x+1/2,y,z'
'-y,-x,-z'
'y,x,z'
'-x,y+1/2,-z'
'x,-y+1/2,z'
'y+1/2,x+1/2,-z'
'-y+1/2,-x+1/2,z'
loop_
_atom_site_label
_atom_site_fract_x
_atom_site_fract_y
_atom_site_fract_z
_atom_site_occupancy
Ac1 0.250 0.250 0.110 1
Ac2 0.250 0.250 0.665 1
Ga1 0.250 0.250 0.411 1
Si1 0.250 0.250 0.883 1
Ir1 0.250 0.750 0.500 1

---

No. 2
# PBE TmSc4Cd, optimized geometry
# Magnetization in μB per formula unit: 1.85
# Energy above the most stable polymorph in this dataset in meV per atom: 58.9
# Total energy in eV/atom: -5.12
# Calculated volume in Å³/cell: 591.3
data_TmSc4Cd
_cell_length_a 9.800
_cell_length_b 5.696
_cell_length_c 11.061
_cell_angle_alpha 90.00
_cell_angle_beta 106.73
_cell_angle_gamma 90.00
_symmetry_space_group_name_H-M 'C 1 2/c 1'
_symmetry_Int_Tables_number 15
_symmetry_space_group_name_Hall '-C 2yc'
loop_
_atom_site_label
_atom_site_fract_x
_atom_site_fract_y
_atom_site_fract_z
_atom_site_occupancy
Tm1 0.250 0.250 0.000 1
Sc1 0.083 0.250 0.505 1
Sc2 0.163 0.088 0.250 1
Cd1 0.000 0.421 0.750 1